A relaxed structure of CsMnNiF6. Source: Alexandria via LeMat-Bulk, functional PBE+U.

abc: 5.3485 5.3561 6.5415
angles: 90.20 90.38 118.79
With the nearest neighbours (Å) after each atom.
Space group P1 (No. 1)
Symmetry-distinct sites (fractional):
Cs1 0.0000 0.0000 0.0000 (multiplicity 1)  6 F 2.95-3.01
Mn1 0.6684 0.3316 0.5001 (multiplicity 1)  6 F 1.91-2.12
Ni1 0.3323 0.6685 0.5002 (multiplicity 1)  6 F 1.98-2.08
F1 0.0126 0.6200 0.3195 (multiplicity 1)  1 Ni 1.98, 1 Mn 2.11
F2 0.3812 0.9871 0.6810 (multiplicity 1)  1 Ni 1.98, 1 Mn 2.12
F3 0.3938 0.3697 0.3346 (multiplicity 1)  1 Mn 1.91, 1 Ni 2.08
F4 0.6310 0.6055 0.6657 (multiplicity 1)  1 Mn 1.91, 1 Ni 2.08
F5 0.6336 0.0150 0.3401 (multiplicity 1)  1 Mn 1.92, 1 Ni 2.07
F6 0.9861 0.3661 0.6598 (multiplicity 1)  1 Mn 1.92, 1 Ni 2.07

Calculated values
The total magnetic moment is 6.000 Bohr magnetons per cell. The volume comes out at 18.25 A^3/atom. The density is 3.646 Mg/m³. For the final energy, the calculation gives -4.936 eV per atom.